Entry 1:
Compound: BeC3I
Source: Alexandria via LeMat-Bulk
Functional: GGA-PBEsol
Structure: optimized geometry

Output
- Energy relative to the elements, uncorrected: 3.655 eV/atom
- DOS(E_F): 0.804 states/eV per atom
- Symmetry: No. 221

CIF file:
```
data_BeC3I
_cell_length_a 4.076
_cell_length_b 4.076
_cell_length_c 4.076
_cell_angle_alpha 90.00
_cell_angle_beta 90.00
_cell_angle_gamma 90.00
_symmetry_space_group_name_H-M 'P 1'
_symmetry_Int_Tables_number 1
loop_
_symmetry_equiv_pos_as_xyz
'x,y,z'
loop_
_atom_site_label
_atom_site_type_symbol
_atom_site_fract_x
_atom_site_fract_y
_atom_site_fract_z
_atom_site_occupancy
I1 I 0.000 0.000 0.000 1
C1 C 0.000 0.000 0.500 1
C2 C 0.500 0.000 0.000 1
C3 C 0.000 0.500 0.000 1
Be1 Be 0.500 0.500 0.500 1
```

=====

Entry 2:
Compound: LiBeC2I
Source: Alexandria via LeMat-Bulk
Functional: GGA-PBEsol
Structure: optimized geometry

Output
- Energy relative to the elements, uncorrected: 1.445 eV/atom
- DOS(E_F): 0.323 states/eV per atom
- Symmetry: No. 123

CIF file:
```
data_LiBeC2I
_cell_length_a 3.541
_cell_length_b 3.541
_cell_length_c 6.685
_cell_angle_alpha 90.00
_cell_angle_beta 90.00
_cell_angle_gamma 90.00
_symmetry_space_group_name_H-M 'P 1'
_symmetry_Int_Tables_number 1
loop_
_symmetry_equiv_pos_as_xyz
'x,y,z'
loop_
_atom_site_label
_atom_site_type_symbol
_atom_site_fract_x
_atom_site_fract_y
_atom_site_fract_z
_atom_site_occupancy
I1 I 0.500 0.500 0.500 1
C1 C 0.500 0.000 0.000 1
C2 C 0.000 0.500 0.000 1
Be1 Be 0.000 0.000 0.000 1
Li1 Li 0.000 0.000 0.500 1
```

=====

- DOS(E_F) of number 1 (BeC3I)?
  0.804 states/eV per atom

=====

- What is the formula in the first record?
  BeC3I